1.
Li9Cu3P8O29 | Alexandria | meta-GGA SCAN | single point on PBEsol structure; DFT total energy = -9.012 eV per atom
1.0
9.660 0.000 0.000
-4.830 8.365 0.000
0.000 0.000 13.575
Li Cu P O
18 6 16 58
Cartesian
0.000 0.000 0.000
0.000 0.000 6.788
-0.657 2.804 0.854
-2.730 6.395 7.641
0.657 2.804 7.641
-2.073 7.533 0.854
0.000 5.577 5.114
0.000 5.577 11.902
2.757 0.833 5.934
2.100 1.971 12.722
2.730 6.395 0.854
2.073 7.533 7.641
4.830 2.788 1.674
4.830 2.788 8.461
6.903 0.833 12.722
4.173 5.562 5.934
7.560 1.971 5.934
5.487 5.562 12.722
-2.091 3.622 3.394
-2.739 4.743 10.181
4.183 0.000 3.394
2.091 3.622 10.181
5.477 0.000 10.181
2.739 4.743 3.394
-0.663 2.672 11.457
-2.847 6.455 4.670
0.663 2.672 4.670
-2.184 7.603 11.457
2.645 0.762 8.906
1.983 1.910 2.118
0.000 5.577 1.695
0.000 5.577 8.483
4.830 2.788 5.093
4.830 2.788 11.880
2.847 6.455 11.457
2.184 7.603 4.670
7.014 0.762 2.118
4.167 5.693 8.906
7.677 1.910 8.906
5.493 5.693 2.118
-1.032 1.787 10.181
-3.798 6.579 3.394
-1.083 1.906 7.678
-3.720 6.475 0.891
-0.866 2.765 4.692
-2.868 6.233 11.480
-1.275 4.070 11.314
-1.943 5.227 4.526
-0.595 4.233 2.198
-1.461 5.734 8.985
2.063 0.000 10.181
1.032 1.787 3.394
1.083 1.906 0.891
-2.638 8.350 7.678
2.192 0.016 12.685
1.110 1.891 5.897
0.866 2.765 11.480
-2.002 7.733 4.692
0.595 4.233 8.985
-0.866 6.764 2.198
2.827 0.633 2.096
1.962 2.132 8.883
0.000 5.577 0.176
0.000 5.577 6.963
1.275 4.070 4.526
-0.668 7.435 11.314
4.162 0.931 9.049
2.887 3.139 2.261
1.461 5.734 2.198
0.866 6.764 8.985
3.963 1.601 4.590
3.368 2.632 11.378
1.943 5.227 11.314
0.668 7.435 4.526
5.498 0.931 2.261
3.555 4.296 9.049
4.830 2.788 6.612
4.830 2.788 13.399
2.868 6.233 4.692
2.002 7.733 11.480
5.696 1.601 11.378
4.235 4.132 4.590
6.832 0.633 8.883
3.964 5.600 2.096
3.720 6.475 7.678
2.638 8.350 0.891
7.467 0.016 5.897
3.747 6.459 12.685
7.596 0.000 3.394
3.798 6.579 10.181
6.291 2.632 4.590
5.425 4.132 11.378
6.773 3.139 9.049
6.105 4.296 2.261
7.698 2.132 2.096
5.695 5.600 8.883
8.550 1.891 12.685
5.912 6.459 5.897


2.
LiCu5P2O8 | Alexandria | meta-GGA SCAN | single point on PBEsol structure; DFT total energy = -10.794 eV per atom
1.0
5.569 0.000 0.000
0.000 6.183 0.000
-0.576 0.000 10.159
Li Cu P O
2 10 4 16
Cartesian
0.000 0.000 0.000
1.438 3.091 2.759
1.782 3.091 7.515
2.193 1.827 9.773
2.193 4.356 9.773
2.563 1.363 5.591
2.563 4.819 5.591
3.842 1.815 7.763
3.842 4.368 7.763
4.201 1.207 2.428
4.201 4.976 2.428
4.653 0.000 4.728
0.775 0.000 7.767
1.540 0.000 2.747
5.029 3.091 5.175
5.359 3.091 0.350
0.169 0.000 1.958
0.863 3.091 4.611
1.299 3.091 0.047
1.271 0.000 4.274
1.285 1.244 7.010
1.285 4.938 7.010
1.258 0.000 9.253
2.267 1.303 2.308
2.267 4.879 2.308
4.185 1.857 4.654
4.185 4.326 4.654
4.158 1.797 9.877
4.158 4.386 9.877
5.113 3.091 1.875
4.794 0.000 7.772
4.998 3.091 6.724


3.
LiCuP2O | Alexandria | meta-GGA SCAN | single point on PBEsol structure; DFT total energy = -8.310 eV per atom
1.0
4.537 0.000 0.000
0.000 4.537 0.000
0.000 0.000 3.106
Li Cu P O
1 1 2 1
Cartesian
0.000 0.000 0.000
2.269 2.269 1.553
0.000 2.269 0.000
2.269 0.000 0.000
0.000 0.000 1.553


4.
Li2CuP4O12 | Alexandria | meta-GGA SCAN | single point on PBEsol structure; DFT total energy = -9.458 eV per atom
1.0
4.530 -6.800 0.000
4.530 6.800 0.000
-0.366 0.000 7.392
Li Cu P O
4 2 8 24
Cartesian
1.434 2.155 1.386
1.251 -2.155 5.082
7.442 2.155 2.310
7.259 -2.155 6.006
4.438 1.750 1.848
4.255 -1.750 5.544
3.429 4.485 2.876
2.873 1.069 6.032
5.447 4.485 0.820
3.057 -1.069 2.336
5.636 1.069 5.057
3.246 -4.485 6.572
5.819 -1.069 1.360
5.264 -4.485 4.516
3.917 4.651 4.272
4.438 5.187 1.848
3.104 3.090 2.361
1.995 1.379 4.721
2.367 1.816 7.214
4.592 4.651 6.816
3.177 0.431 2.424
2.178 -1.379 1.025
4.255 1.717 5.544
2.993 -0.431 6.120
5.773 3.090 1.335
2.550 -1.816 3.518
6.143 1.816 3.874
2.920 -3.090 6.057
5.700 0.431 1.272
4.438 -1.717 1.848
6.515 1.379 6.368
5.516 -0.431 4.968
4.101 -4.651 0.576
6.326 -1.816 0.178
6.698 -1.379 2.672
5.589 -3.090 5.031
4.255 -5.187 5.544
4.776 -4.651 3.120


5.
LiCuP4O12 | Alexandria | meta-GGA SCAN | single point on PBEsol structure; DFT total energy = -9.535 eV per atom
1.0
5.393 0.000 0.000
-1.783 6.408 0.000
-0.473 -2.560 6.606
Li Cu P O
1 1 4 12
Cartesian
0.000 0.000 0.000
1.713 3.011 3.583
-0.271 4.900 2.311
2.030 -1.153 5.118
3.289 0.814 2.042
3.810 1.194 4.865
-1.476 5.010 1.466
-0.346 1.288 5.650
0.254 3.475 2.552
1.243 -0.839 3.750
1.096 -1.619 6.147
2.733 -0.658 1.739
2.073 1.693 2.367
1.479 4.391 4.753
2.661 0.262 5.490
3.131 2.578 4.675
4.223 1.180 0.967
4.082 0.568 3.422


6.
Li2CuP4O12 | Alexandria | meta-GGA SCAN | single point on PBEsol structure; DFT total energy = -9.453 eV per atom
1.0
7.339 0.000 0.000
0.000 10.909 0.000
-1.810 0.000 12.185
Li Cu P O
8 4 16 48
Cartesian
0.638 0.562 1.901
-0.267 4.893 7.994
-0.501 7.107 9.583
0.404 9.257 3.490
5.124 1.652 8.695
6.029 3.802 2.603
5.795 6.016 4.192
4.890 10.347 10.284
3.302 2.637 2.246
2.397 2.817 8.338
3.131 8.092 3.847
2.226 8.272 9.940
-1.676 2.314 11.624
-0.771 3.140 5.532
0.717 6.429 2.230
-0.188 9.934 8.323
1.277 2.692 11.253
2.183 2.763 5.160
2.857 0.227 4.000
1.951 5.228 10.093
3.577 5.681 2.092
2.672 10.682 8.185
3.346 8.146 7.026
4.251 8.217 0.933
5.717 0.975 3.863
4.811 4.480 9.955
6.299 7.769 6.654
7.204 8.595 0.561
-0.458 0.073 3.626
-1.363 5.381 9.719
0.324 2.150 0.903
-0.581 3.304 6.996
0.581 7.157 0.795
-0.324 9.207 6.887
-0.380 6.728 7.494
0.525 9.636 1.402
-0.258 2.604 10.867
0.647 2.850 4.774
1.052 7.433 3.287
0.146 8.931 9.380
2.007 5.491 1.929
1.102 10.873 8.021
1.319 6.574 10.322
2.224 9.789 4.229
2.482 0.916 2.702
1.577 4.538 8.794
2.432 1.160 5.225
1.527 4.295 11.318
3.374 2.111 0.409
2.468 3.344 6.502
2.056 2.121 10.100
2.961 3.334 4.008
2.567 7.575 8.178
3.472 8.788 2.085
3.060 7.565 5.683
2.155 8.798 11.776
4.002 6.614 0.867
3.097 9.749 6.960
3.951 6.371 3.391
3.046 9.993 9.484
3.304 1.120 7.956
4.209 4.335 1.863
4.427 0.036 4.164
3.521 5.418 10.257
5.382 1.978 2.806
4.477 3.476 8.899
4.881 8.059 7.411
5.786 8.305 1.318
5.003 1.273 10.784
5.908 4.181 4.691
5.853 1.702 5.298
4.948 3.753 11.391
6.110 7.605 5.189
5.205 8.759 11.282
6.891 5.528 2.467
5.986 10.836 8.560


7.
Li5CuP2O8 | Alexandria | meta-GGA SCAN | single point on PBEsol structure; DFT total energy = -8.509 eV per atom
1.0
6.097 0.000 0.000
0.000 4.981 0.000
-0.093 0.000 10.594
Li Cu P O
10 2 4 16
Cartesian
0.000 0.217 0.000
-0.047 4.764 5.297
1.490 0.258 2.544
1.443 4.723 7.841
1.462 2.196 9.653
1.508 2.785 4.356
3.034 2.226 1.612
2.987 2.754 6.909
4.564 0.233 2.538
4.518 4.748 7.835
4.444 2.230 9.561
4.491 2.751 4.264
-0.023 2.226 7.031
0.023 2.755 1.734
2.979 0.293 5.187
2.932 4.687 10.484
-0.057 0.673 7.031
-0.010 4.307 1.734
0.074 2.205 0.288
0.027 2.775 5.585
1.264 2.252 2.516
1.217 2.729 7.813
1.689 0.215 9.709
1.736 4.765 4.412
2.942 1.850 5.234
2.896 3.131 10.531
3.023 0.250 1.338
2.976 4.731 6.635
4.228 0.147 9.733
4.274 4.833 4.436
4.820 2.206 2.401
4.773 2.775 7.698


8.
Li2CuP4O12 | Alexandria | meta-GGA SCAN | single point on PBEsol structure; DFT total energy = -9.464 eV per atom
1.0
9.292 0.000 0.000
0.000 9.325 0.000
0.000 0.000 9.883
Li Cu P O
8 4 16 48
Cartesian
0.091 0.893 1.694
0.091 3.770 1.694
4.555 5.555 6.635
4.555 8.432 6.635
4.736 0.893 3.247
4.736 3.770 3.247
9.201 5.555 8.189
9.201 8.432 8.189
0.014 2.331 7.892
4.632 6.994 2.951
4.660 2.331 6.932
9.278 6.994 1.991
1.807 6.994 6.057
1.963 5.003 3.885
1.963 8.985 3.885
2.081 2.331 5.247
2.565 6.994 0.305
2.683 0.340 8.826
2.683 4.322 8.826
2.839 2.331 1.116
6.453 6.994 8.767
6.609 5.003 1.057
6.609 8.985 1.057
6.727 2.331 9.577
7.211 6.994 4.636
7.329 0.340 5.998
7.329 4.322 5.998
7.484 2.331 3.825
0.925 6.994 7.258
1.055 6.994 0.425
1.096 5.278 2.686
1.096 8.710 2.686
1.197 0.544 8.752
1.197 4.118 8.752
1.265 2.331 6.484
1.341 5.749 5.157
1.341 8.238 5.157
1.357 2.331 1.272
1.623 1.163 4.277
1.623 3.500 4.277
3.023 5.825 9.218
3.023 8.163 9.218
3.288 6.994 6.213
3.305 1.087 0.215
3.305 3.576 0.215
3.381 6.994 1.543
3.449 5.207 3.811
3.449 8.781 3.811
3.550 0.615 7.627
3.550 4.047 7.627
3.591 2.331 5.367
3.721 2.331 2.317
5.571 6.994 7.566
5.701 6.994 4.516
5.742 5.278 2.255
5.742 8.710 2.255
5.843 0.544 6.072
5.843 4.118 6.072
5.910 2.331 8.340
5.987 5.749 9.667
5.987 8.238 9.667
6.003 2.331 3.669
6.269 1.163 0.665
6.269 3.500 0.665
7.668 5.825 5.606
7.668 8.163 5.606
7.934 6.994 8.611
7.950 1.087 4.726
7.950 3.576 4.726
8.027 6.994 3.398
8.095 5.207 1.131
8.095 8.781 1.131
8.195 0.615 7.197
8.195 4.047 7.197
8.237 2.331 9.457
8.367 2.331 2.624


The volume results, record by record, are as follows: 11.2, 10.9, 12.8, 12.0, 12.7, 12.8, 10.1, 11.3 Å³/atom.
The formation energy without anion corrections results, record by record, are as follows: -10671, -2284, 296, -4182, -3635, -4173, -3701, -4193 kJ/mol of formula units.